[1]
Entry from the Alexandria database: Sr2Ca15Sm2 after structural relaxation (PBE-GGA).

Geometry as CIF:
```
data_Sr2Ca15Sm2
_cell_length_a 9.567
_cell_length_b 9.567
_cell_length_c 9.567
_cell_angle_alpha 82.07
_cell_angle_beta 82.07
_cell_angle_gamma 82.07
_space_group_name_H-M_alt 'P 1'
_space_group_IT_number 1
loop_
_space_group_symop_operation_xyz
'x,y,z'
loop_
_atom_site_label
_atom_site_type_symbol
_atom_site_fract_x
_atom_site_fract_y
_atom_site_fract_z
_atom_site_occupancy
Sr1 Sr 0.177 0.177 0.177 1
Sr2 Sr 0.823 0.823 0.823 1
Ca1 Ca 0.000 0.500 0.500 1
Ca2 Ca 0.149 0.149 0.647 1
Ca3 Ca 0.149 0.647 0.149 1
Ca4 Ca 0.209 0.500 0.791 1
Ca5 Ca 0.209 0.791 0.500 1
Ca6 Ca 0.353 0.851 0.851 1
Ca7 Ca 0.500 0.000 0.500 1
Ca8 Ca 0.500 0.209 0.791 1
Ca9 Ca 0.500 0.500 0.000 1
Ca10 Ca 0.500 0.791 0.209 1
Ca11 Ca 0.647 0.149 0.149 1
Ca12 Ca 0.791 0.209 0.500 1
Ca13 Ca 0.791 0.500 0.209 1
Ca14 Ca 0.851 0.353 0.851 1
Ca15 Ca 0.851 0.851 0.353 1
Sm1 Sm 0.407 0.407 0.407 1
Sm2 Sm 0.593 0.593 0.593 1
```

## Properties
The space group is No. 166. Its crystal system is trigonal. For the formation energy, the calculation gives 0.13 eV per atom. The calculation puts the final energy at -40.28 eV for the cell shown.


[2]
Entry from the Alexandria database: Sr2CaSm after structural relaxation (PBE-GGA).

Geometry as CIF:
```
data_Sr2CaSm
_cell_length_a 6.295
_cell_length_b 6.295
_cell_length_c 4.399
_cell_angle_alpha 90.00
_cell_angle_beta 90.00
_cell_angle_gamma 90.00
_space_group_name_H-M_alt 'P 1'
_space_group_IT_number 1
loop_
_space_group_symop_operation_xyz
'x,y,z'
loop_
_atom_site_label
_atom_site_type_symbol
_atom_site_fract_x
_atom_site_fract_y
_atom_site_fract_z
_atom_site_occupancy
Sr1 Sr 0.000 0.500 0.000 1
Sr2 Sr 0.500 0.000 0.000 1
Ca1 Ca 0.000 0.000 0.500 1
Sm1 Sm 0.500 0.500 0.500 1
```

## Properties
The space group is No. 123. Its crystal system is tetragonal. As for the offset from the most stable computed form: 0.027 eV/atom. For the formation energy, the calculation gives 0.15 eV per atom. The calculation puts the final energy at -9.47 eV for the cell shown.


[3]
Entry from the Alexandria database: SrCaSm4 after structural relaxation (PBE-GGA).

Geometry as CIF:
```
data_SrCaSm4
_cell_length_a 6.933
_cell_length_b 6.933
_cell_length_c 6.933
_cell_angle_alpha 60.00
_cell_angle_beta 60.00
_cell_angle_gamma 60.00
_space_group_name_H-M_alt 'P 1'
_space_group_IT_number 1
loop_
_space_group_symop_operation_xyz
'x,y,z'
loop_
_atom_site_label
_atom_site_type_symbol
_atom_site_fract_x
_atom_site_fract_y
_atom_site_fract_z
_atom_site_occupancy
Sr1 Sr 0.000 0.000 0.000 1
Ca1 Ca 0.250 0.250 0.250 1
Sm1 Sm 0.128 0.624 0.624 1
Sm2 Sm 0.624 0.128 0.624 1
Sm3 Sm 0.624 0.624 0.128 1
Sm4 Sm 0.624 0.624 0.624 1
```

## Properties
The space group is No. 216. Its crystal system is cubic. For the formation energy, the calculation gives 0.18 eV per atom. The calculation puts the final energy at -21.46 eV for the cell shown.


[4]
Entry from the Alexandria database: Sr2Ca6Sm after structural relaxation (PBE-GGA).

Geometry as CIF:
```
data_Sr2Ca6Sm
_cell_length_a 3.913
_cell_length_b 3.913
_cell_length_c 29.544
_cell_angle_alpha 90.00
_cell_angle_beta 90.00
_cell_angle_gamma 120.00
_space_group_name_H-M_alt 'P 1'
_space_group_IT_number 1
loop_
_space_group_symop_operation_xyz
'x,y,z'
loop_
_atom_site_label
_atom_site_type_symbol
_atom_site_fract_x
_atom_site_fract_y
_atom_site_fract_z
_atom_site_occupancy
Sr1 Sr 0.000 0.000 0.176 1
Sr2 Sr 0.000 0.000 0.824 1
Ca1 Ca 0.000 0.000 0.399 1
Ca2 Ca 0.000 0.000 0.601 1
Ca3 Ca 0.667 0.333 0.062 1
Ca4 Ca 0.667 0.333 0.290 1
Ca5 Ca 0.667 0.333 0.710 1
Ca6 Ca 0.667 0.333 0.938 1
Sm1 Sm 0.667 0.333 0.500 1
```

## Properties
The space group is No. 187. Its crystal system is hexagonal. For the formation energy, the calculation gives 0.08 eV per atom. The calculation puts the final energy at -19.40 eV for the cell shown.